(1)
The following is a PBE calculation of Hf2TaSeBr after structural relaxation, from Alexandria via LeMat-Bulk.

a b c (Å): 5.2701 5.2701 4.8554
angles (deg): 90.00 90.00 90.00
With the nearest neighbours (Å) after each atom.
Space group P4/mmm (No. 123)
Symmetry-distinct sites (fractional):
1 Hf 0.0000 0.5000 0.0000  2 Ta 2.64
2 Ta 0.0000 0.0000 0.0000  2 Se 2.43, 4 Hf 2.64
3 Se 0.0000 0.0000 0.5000  2 Ta 2.43
4 Br 0.5000 0.5000 0.5000  8 Hf 3.58, 4 Se 3.73

Calculated values
Theoretical density in Mg/m³: 8.6
DFT total energy in eV for the cell shown: -33.83
Formation energy (no corrections) in eV per atom: 0.618

***

(2)
The following is a PBE calculation of K2OsI after structural relaxation, from Alexandria via LeMat-Bulk.

a b c (Å): 8.4304 8.4304 8.4304
angles (deg): 90.00 90.00 90.00
With the nearest neighbours (Å) after each atom.
Space group Fm-3m (No. 225)
Symmetry-distinct sites (fractional):
1 K 0.2500 0.2500 0.2500  4 Os 3.65, 4 I 3.65
2 Os 0.0000 0.0000 0.0000  8 K 3.65
3 I 0.0000 0.0000 0.5000  8 K 3.65

Calculated values
Theoretical density in Mg/m³: 4.4
DFT total energy in eV for the cell shown: -47.21
Formation energy (no corrections) in eV per atom: 0.793

***

(3)
The following is a PBE calculation of Na5Ag2O5 after structural relaxation, from Alexandria via LeMat-Bulk.

a b c (Å): 10.9895 3.3199 9.6890
angles (deg): 90.00 105.34 90.00
With the nearest neighbours (Å) after each atom.
Space group C2/m (No. 12)
Symmetry-distinct sites (fractional):
1 Na 0.0000 0.0000 0.0000  4 O 2.37
2 Na 0.1549 0.0000 0.5546  5 O 2.34-2.53
3 Na 0.2439 0.0000 0.8619  3 O 2.33-2.37
4 Ag 0.0351 0.5000 0.2823  4 O 2.11-2.28
5 O 0.0000 0.5000 0.5000  2 Ag 2.24, 4 Na 2.34
6 O 0.1117 0.5000 0.9084  1 Ag 2.11, 2 Na 2.33
7 O 0.1818 0.0000 0.3135  2 Ag 2.28, 3 Na 2.43-2.53

Calculated values
Theoretical density in Mg/m³: 4.0
DFT total energy in eV for the cell shown: -92.54
Formation energy (no corrections) in eV per atom: -0.765

***

(4)
The following is a PBE calculation of Pm3Sm4ErTe8 after structural relaxation, from Alexandria via LeMat-Bulk.

a b c (Å): 8.8837 8.8837 21.7145
angles (deg): 90.00 90.00 120.00
With the nearest neighbours (Å) after each atom.
Space group R-3m (No. 166, hexagonal axes)
Symmetry-distinct sites (fractional):
1 Pm 0.0000 0.5000 0.0000  6 Te 3.15
2 Sm 0.0000 0.0000 0.5000  6 Te 3.19
3 Sm 0.0000 0.5000 0.5000  6 Te 3.13
4 Er 0.0000 0.0000 0.0000  6 Te 3.09
5 Te 0.0000 0.0000 0.2494  3 Sm 3.13, 3 Pm 3.15
6 Te 0.0062 0.5031 0.7491  1 Er 3.09, 3 Sm 3.13-3.19, 2 Pm 3.15

Calculated values
Theoretical density in Mg/m³: 7.5
DFT total energy in eV for the cell shown: -254.00
Formation energy (no corrections) in eV per atom: -1.365

***

(5)
The following is a PBE calculation of IrAuS3 after structural relaxation, from Alexandria via LeMat-Bulk.

a b c (Å): 4.6571 4.6571 4.6571
angles (deg): 90.00 90.00 90.00
With the nearest neighbours (Å) after each atom.
Space group Pm-3m (No. 221)
Symmetry-distinct sites (fractional):
1 Ir 0.0000 0.0000 0.0000  6 S 2.33
2 Au 0.5000 0.5000 0.5000  12 S 3.29
3 S 0.0000 0.0000 0.5000  2 Ir 2.33

Calculated values
Theoretical density in Mg/m³: 8.0
DFT total energy in eV for the cell shown: -20.62
Formation energy (no corrections) in eV per atom: 0.781

***

(6)
The following is a PBE calculation of Tb2Er6TmSc after structural relaxation, from Alexandria via LeMat-Bulk.

a b c (Å): 8.9201 14.6774 9.4067
angles (deg): 90.00 98.25 90.00
With the nearest neighbours (Å) after each atom.
Space group C2/c (No. 15)
Symmetry-distinct sites (fractional):
1 Tb 0.2497 0.0511 0.0461  5 Er 3.16-3.45, 2 Tm 3.31-3.34, 1 Sc 3.42
2 Er 0.0618 0.1884 0.4433  7 Er 3.36-3.65, 1 Tb 3.45, 1 Tm 3.57, 1 Sc 3.74
3 Er 0.1016 0.3946 0.6172  3 Tb 3.16-3.35, 4 Er 3.20-3.43, 2 Sc 3.29-3.45
4 Er 0.2103 0.2207 0.8108  3 Er 3.20-3.55, 1 Tb 3.32, 1 Sc 3.34, 1 Tm 3.49
5 Tm 0.0000 0.0204 0.7500  4 Tb 3.31-3.34, 4 Er 3.49-3.57
6 Sc 0.0000 0.4110 0.2500  6 Er 3.29-3.45, 2 Tb 3.42

Calculated values
Theoretical density in Mg/m³: 8.4
DFT total energy in eV for the cell shown: -184.76
ΔE_f in kJ/mol of atoms: 12

***

(7)
The following is a PBE calculation of YErSi after structural relaxation, from Alexandria via LeMat-Bulk.

a b c (Å): 6.8209 6.8209 6.8209
angles (deg): 90.00 90.00 90.00
With the nearest neighbours (Å) after each atom.
Space group F-43m (No. 216)
Symmetry-distinct sites (fractional):
1 Y 0.0000 0.0000 0.0000  4 Si 2.95
2 Er 0.0000 0.0000 0.5000  4 Si 2.95
3 Si 0.2500 0.2500 0.7500  4 Er 2.95, 4 Y 2.95

Calculated values
Theoretical density in Mg/m³: 5.9
DFT total energy in eV for the cell shown: -71.55
Formation energy (no corrections) in eV per atom: -0.479

***

(8)
The following is a PBE calculation of Bi3ClO after structural relaxation, from Alexandria via LeMat-Bulk.

a b c (Å): 5.0272 5.0272 5.0272
angles (deg): 90.00 90.00 90.00
With the nearest neighbours (Å) after each atom.
Space group Pm-3m (No. 221)
Symmetry-distinct sites (fractional):
1 Bi 0.0000 0.0000 0.5000  2 O 2.51
2 Cl 0.5000 0.5000 0.5000  12 Bi 3.55
3 O 0.0000 0.0000 0.0000  6 Bi 2.51

Calculated values
Theoretical density in Mg/m³: 8.9
DFT total energy in eV for the cell shown: -18.69
Formation energy (no corrections) in eV per atom: -0.049